No. 1
Material: CdGe
Method: DFT, GGA-PBE
State: optimized geometry

abc: 3.184 5.341 6.288
angles: 114.87 90.38 106.29
Space group P-1 (No. 2)
Inequivalent atoms, fractional coordinates:
Cd: 0.104 0.222 0.291 x2
Ge: 0.182 0.358 0.814 x2

* total magnetization: 0.0000 μB per atom
* formation energy: 176 meV per atom

No. 2
Material: NdScGa2Cu2
Method: DFT, GGA-PBE
State: optimized geometry

abc: 4.3161 4.3161 7.0679
angles: 90.00 90.00 120.00
Space group P-3m1 (No. 164)
Inequivalent atoms, fractional coordinates:
Nd: 0.0000 0.0000 0.0000 x1
Sc: 0.0000 0.0000 0.5000 x1
Ga: 0.3333 0.6667 0.2904 x2
Cu: 0.3333 0.6667 0.6950 x2

* total magnetization: 0.0000 μB per atom
* formation energy: -502 meV per atom